The following is a PBE calculation of a geometry-optimized ZrVI2N structure, from the Alexandria database.

The uncorrected formation energy comes out at 1.4 eV/f.u.

It has space group P4/mmm (No. 123), with a = 5.919 Å, b = 5.919 Å, c = 3.994 Å, α = 90.00°, β = 90.00° and γ = 90.00°. The distinct sites, in fractional coordinates, are Zr at (0.000, 0.000, 0.000), V at (0.500, 0.500, 0.500), I at (0.000, 0.500, 0.000) and N at (0.000, 0.000, 0.500).

The following is a PBE calculation of a geometry-optimized ZrVIN2 structure, from the Alexandria database.

The uncorrected formation energy comes out at 2.7 eV/f.u.

It has space group P4/mmm (No. 123), with a = 3.956 Å, b = 3.956 Å, c = 5.171 Å, α = 90.00°, β = 90.00° and γ = 90.00°. The distinct sites, in fractional coordinates, are Zr at (0.000, 0.000, 0.000), V at (0.500, 0.500, 0.500), I at (0.500, 0.500, 0.000) and N at (0.000, 0.500, 0.500).

The following is a PBE calculation of a geometry-optimized ZrVIN2 structure, from the Alexandria database.

The uncorrected formation energy comes out at 3.1 eV/f.u.

It has space group P4/mmm (No. 123), with a = 4.189 Å, b = 4.189 Å, c = 5.982 Å, α = 90.00°, β = 90.00° and γ = 90.00°. The distinct sites, in fractional coordinates, are Zr at (0.000, 0.000, 0.000), V at (0.500, 0.500, 0.500), I at (0.000, 0.000, 0.500) and N at (0.000, 0.500, 0.000).

no.,density of states at the Fermi level (states/eV/f.u.)
1,4.760
2,3.337
3,3.742